Entry 1:
# ZrIrPt (SCAN, single point on PBEsol structure)
# Energy above the most stable polymorph in this dataset in kcal/mol of atoms: 3.44
# DFT formation energy in eV per atom: -0.43
data_ZrIrPt
_symmetry_space_group_name_H-M 'P 1'
_symmetry_Int_Tables_number 1
_symmetry_space_group_name_Hall 'P 1'
_cell_length_a 4.351
_cell_length_b 4.351
_cell_length_c 4.351
_cell_angle_alpha 60.00
_cell_angle_beta 60.00
_cell_angle_gamma 60.00
loop_
_atom_site_label
_atom_site_type_symbol
_atom_site_fract_x
_atom_site_fract_y
_atom_site_fract_z
Zr1 Zr 0.000 0.000 0.000
Ir1 Ir 0.500 0.500 0.500
Pt1 Pt 0.750 0.750 0.750

=====

Entry 2:
# Li2CuPO4 (SCAN, single point on PBEsol structure)
# Energy above the most stable polymorph in this dataset in kcal/mol of atoms: 0.13
# Formation energy (no corrections) in eV per atom: -2.17
data_Li2CuPO4
_symmetry_space_group_name_H-M 'P 1'
_symmetry_Int_Tables_number 1
_symmetry_space_group_name_Hall 'P 1'
_cell_length_a 10.455
_cell_length_b 6.149
_cell_length_c 5.095
_cell_angle_alpha 90.00
_cell_angle_beta 90.00
_cell_angle_gamma 90.00
loop_
_atom_site_label
_atom_site_type_symbol
_atom_site_fract_x
_atom_site_fract_y
_atom_site_fract_z
Li1 Li 0.161 0.003 0.190
Li2 Li 0.161 0.497 0.190
Li3 Li 0.339 0.503 0.690
Li4 Li 0.339 0.997 0.690
Li5 Li 0.661 0.003 0.310
Li6 Li 0.661 0.497 0.310
Li7 Li 0.839 0.503 0.810
Li8 Li 0.839 0.997 0.810
Cu1 Cu 0.106 0.750 0.754
Cu2 Cu 0.394 0.250 0.254
Cu3 Cu 0.606 0.750 0.746
Cu4 Cu 0.894 0.250 0.246
P1 P 0.087 0.250 0.684
P2 P 0.413 0.750 0.184
P3 P 0.587 0.250 0.816
P4 P 0.913 0.750 0.316
O1 O 0.053 0.750 0.227
O2 O 0.096 0.250 0.381
O3 O 0.160 0.048 0.797
O4 O 0.160 0.452 0.797
O5 O 0.340 0.548 0.297
O6 O 0.340 0.952 0.297
O7 O 0.404 0.750 0.881
O8 O 0.447 0.250 0.727
O9 O 0.553 0.750 0.273
O10 O 0.596 0.250 0.119
O11 O 0.660 0.048 0.703
O12 O 0.660 0.452 0.703
O13 O 0.840 0.548 0.203
O14 O 0.840 0.952 0.203
O15 O 0.904 0.750 0.619
O16 O 0.947 0.250 0.773

=====

Entry 3:
# Lu3ScV4O12 (SCAN, single point on PBEsol structure)
# Formation energy (no corrections) in eV per atom: -3.34
data_Lu3ScV4O12
_symmetry_space_group_name_H-M 'P 1'
_symmetry_Int_Tables_number 1
_symmetry_space_group_name_Hall 'P 1'
_cell_length_a 5.081
_cell_length_b 7.433
_cell_length_c 5.491
_cell_angle_alpha 90.00
_cell_angle_beta 90.05
_cell_angle_gamma 90.00
loop_
_atom_site_label
_atom_site_type_symbol
_atom_site_fract_x
_atom_site_fract_y
_atom_site_fract_z
Lu1 Lu 0.000 0.000 0.000
Lu2 Lu 0.044 0.500 0.152
Lu3 Lu 0.496 0.500 0.651
Sc1 Sc 0.547 0.000 0.504
V1 V 0.021 0.247 0.575
V2 V 0.021 0.753 0.575
V3 V 0.520 0.248 0.078
V4 V 0.520 0.752 0.078
O1 O 0.164 0.000 0.626
O2 O 0.204 0.309 0.884
O3 O 0.204 0.691 0.884
O4 O 0.332 0.315 0.381
O5 O 0.332 0.685 0.381
O6 O 0.395 0.000 0.140
O7 O 0.644 0.500 0.027
O8 O 0.702 0.183 0.765
O9 O 0.702 0.817 0.765
O10 O 0.833 0.187 0.271
O11 O 0.833 0.813 0.271
O12 O 0.896 0.500 0.530

=====

Entry 4:
# La5Hg (SCAN, single point on PBEsol structure)
# Energy above the most stable polymorph in this dataset in kcal/mol of atoms: 1.24
# DFT formation energy in eV per atom: -0.18
data_La5Hg
_symmetry_space_group_name_H-M 'P 1'
_symmetry_Int_Tables_number 1
_symmetry_space_group_name_Hall 'P 1'
_cell_length_a 5.790
_cell_length_b 9.047
_cell_length_c 9.047
_cell_angle_alpha 23.34
_cell_angle_beta 90.00
_cell_angle_gamma 90.00
loop_
_atom_site_label
_atom_site_type_symbol
_atom_site_fract_x
_atom_site_fract_y
_atom_site_fract_z
La1 La 0.000 0.000 0.000
La2 La 0.000 0.309 0.309
La3 La 0.500 0.177 0.177
La4 La 0.500 0.521 0.521
La5 La 0.500 0.846 0.846
Hg1 Hg 0.000 0.652 0.652

=====

Entry 5:
# NaV3H6S2O14 (SCAN, single point on PBEsol structure)
# Electronic total energy in eV/atom: -8.90
data_NaV3H6S2O14
_symmetry_space_group_name_H-M 'P 1'
_symmetry_Int_Tables_number 1
_symmetry_space_group_name_Hall 'P 1'
_cell_length_a 6.926
_cell_length_b 6.926
_cell_length_c 6.926
_cell_angle_alpha 62.87
_cell_angle_beta 62.87
_cell_angle_gamma 62.87
loop_
_atom_site_label
_atom_site_type_symbol
_atom_site_fract_x
_atom_site_fract_y
_atom_site_fract_z
Na1 Na 0.000 0.000 0.000
V1 V 0.000 0.000 0.500
V2 V 0.000 0.500 0.000
V3 V 0.500 0.000 0.000
H1 H 0.292 0.691 0.691
H2 H 0.309 0.309 0.708
H3 H 0.309 0.708 0.309
H4 H 0.691 0.292 0.691
H5 H 0.691 0.691 0.292
H6 H 0.708 0.309 0.309
S1 S 0.312 0.312 0.312
S2 S 0.688 0.688 0.688
O1 O 0.122 0.736 0.736
O2 O 0.171 0.171 0.509
O3 O 0.171 0.509 0.171
O4 O 0.264 0.264 0.878
O5 O 0.264 0.878 0.264
O6 O 0.401 0.401 0.401
O7 O 0.491 0.829 0.829
O8 O 0.509 0.171 0.171
O9 O 0.599 0.599 0.599
O10 O 0.736 0.122 0.736
O11 O 0.736 0.736 0.122
O12 O 0.829 0.491 0.829
O13 O 0.829 0.829 0.491
O14 O 0.878 0.264 0.264

=====

Entry 6:
# KBaPb2 (SCAN, single point on PBEsol structure)
# Energy above the most stable polymorph in this dataset in kcal/mol of atoms: 0.91
# DFT formation energy in eV per atom: -0.53
data_KBaPb2
_symmetry_space_group_name_H-M 'P 1'
_symmetry_Int_Tables_number 1
_symmetry_space_group_name_Hall 'P 1'
_cell_length_a 6.594
_cell_length_b 6.594
_cell_length_c 6.594
_cell_angle_alpha 139.24
_cell_angle_beta 128.49
_cell_angle_gamma 67.68
loop_
_atom_site_label
_atom_site_type_symbol
_atom_site_fract_x
_atom_site_fract_y
_atom_site_fract_z
K1 K 0.000 0.000 0.000
Ba1 Ba 0.708 0.208 0.500
Pb1 Pb 0.271 0.771 0.500
Pb2 Pb 0.453 0.453 0.000

=====

Entry 7:
# Ba8Li13GaSb12 (SCAN, single point on PBEsol structure)
# Formation energy (no corrections) in eV per atom: -0.91
data_Ba8Li13GaSb12
_symmetry_space_group_name_H-M 'P 1'
_symmetry_Int_Tables_number 1
_symmetry_space_group_name_Hall 'P 1'
_cell_length_a 9.328
_cell_length_b 9.328
_cell_length_c 20.841
_cell_angle_alpha 96.67
_cell_angle_beta 96.67
_cell_angle_gamma 30.58
loop_
_atom_site_label
_atom_site_type_symbol
_atom_site_fract_x
_atom_site_fract_y
_atom_site_fract_z
Ba1 Ba 0.000 0.000 0.000
Ba2 Ba 0.272 0.272 0.412
Ba3 Ba 0.320 0.320 0.626
Ba4 Ba 0.455 0.455 0.284
Ba5 Ba 0.500 0.500 0.497
Ba6 Ba 0.769 0.769 0.917
Ba7 Ba 0.817 0.817 0.129
Ba8 Ba 0.956 0.956 0.787
Li1 Li 0.073 0.073 0.408
Li2 Li 0.127 0.127 0.283
Li3 Li 0.133 0.133 0.712
Li4 Li 0.145 0.145 0.129
Li5 Li 0.195 0.195 0.003
Li6 Li 0.270 0.270 0.798
Li7 Li 0.500 0.500 0.115
Li8 Li 0.574 0.574 0.912
Li9 Li 0.627 0.627 0.787
Li10 Li 0.635 0.635 0.202
Li11 Li 0.701 0.701 0.504
Li12 Li 0.768 0.768 0.297
Li13 Li 0.996 0.996 0.615
Ga1 Ga 0.646 0.646 0.629
Sb1 Sb 0.010 0.010 0.183
Sb2 Sb 0.135 0.135 0.862
Sb3 Sb 0.137 0.137 0.554
Sb4 Sb 0.261 0.261 0.230
Sb5 Sb 0.362 0.362 0.019
Sb6 Sb 0.407 0.407 0.892
Sb7 Sb 0.515 0.515 0.682
Sb8 Sb 0.635 0.635 0.370
Sb9 Sb 0.636 0.636 0.048
Sb10 Sb 0.761 0.761 0.726
Sb11 Sb 0.863 0.863 0.520
Sb12 Sb 0.909 0.909 0.394

=====

Entry 8:
# LiAg2F4 (SCAN, single point on PBEsol structure)
# Energy above the most stable polymorph in this dataset in kcal/mol of atoms: 0.96
# Formation energy (no corrections) in eV per atom: -1.68
data_LiAg2F4
_symmetry_space_group_name_H-M 'P 1'
_symmetry_Int_Tables_number 1
_symmetry_space_group_name_Hall 'P 1'
_cell_length_a 7.857
_cell_length_b 7.857
_cell_length_c 6.082
_cell_angle_alpha 90.00
_cell_angle_beta 90.00
_cell_angle_gamma 90.04
loop_
_atom_site_label
_atom_site_type_symbol
_atom_site_fract_x
_atom_site_fract_y
_atom_site_fract_z
Li1 Li 0.250 0.250 0.023
Li2 Li 0.250 0.250 0.523
Li3 Li 0.750 0.750 0.477
Li4 Li 0.750 0.750 0.977
Ag1 Ag 0.089 0.911 0.750
Ag2 Ag 0.090 0.590 0.250
Ag3 Ag 0.410 0.910 0.250
Ag4 Ag 0.411 0.589 0.750
Ag5 Ag 0.589 0.411 0.250
Ag6 Ag 0.590 0.090 0.750
Ag7 Ag 0.910 0.410 0.750
Ag8 Ag 0.911 0.089 0.250
F1 F 0.015 0.195 0.550
F2 F 0.015 0.305 0.050
F3 F 0.195 0.015 0.050
F4 F 0.195 0.485 0.550
F5 F 0.305 0.015 0.550
F6 F 0.305 0.485 0.050
F7 F 0.485 0.195 0.050
F8 F 0.485 0.305 0.550
F9 F 0.515 0.695 0.450
F10 F 0.515 0.805 0.950
F11 F 0.695 0.515 0.950
F12 F 0.695 0.985 0.450
F13 F 0.805 0.515 0.450
F14 F 0.805 0.985 0.950
F15 F 0.985 0.695 0.950
F16 F 0.985 0.805 0.450